<one>
Nd2Ge3Pt2: optimized geometry, PBE.

Structure (POSCAR):
```
Nd2Ge3Pt2
1.0
5.1787 -2.1895 0.0000
5.1787 2.1895 0.0000
-2.0352 0.0000 6.4563
Nd Ge Pt
2 3 2
Cartesian
0.9463 0.0000 1.8758
7.3759 0.0000 4.5805
3.9165 0.0000 0.3874
4.1611 0.0000 3.2281
4.4057 0.0000 6.0689
0.0219 0.0000 4.9668
8.3003 0.0000 1.4895
```

theoretical density	10168	kg/m3
DOS at the Fermi energy	0.592	states/eV per atom
size of the total moment	0.00	μB/f.u.
V	146.41	Å³/cell

<two>
Nd2Ge3Pt2: optimized geometry, PBE.

Structure (POSCAR):
```
Nd2Ge3Pt2
1.0
2.1679 -9.2853 0.0000
2.1679 9.2853 0.0000
0.0000 0.0000 7.1448
Nd Ge Pt
4 6 4
Cartesian
2.1679 8.2693 5.3586
2.1679 6.4062 1.7862
2.1679 -6.4062 5.3586
2.1679 -8.2693 1.7862
2.1679 5.1243 5.3586
2.1679 1.1628 4.0424
2.1679 1.1628 6.6748
2.1679 -1.1628 0.4700
2.1679 -1.1628 3.1024
2.1679 -5.1243 1.7862
2.1679 3.6097 0.3448
2.1679 3.6097 3.2276
2.1679 -3.6097 3.9172
2.1679 -3.6097 6.8000
```

theoretical density	10352	kg/m3
DOS at the Fermi energy	0.362	states/eV per atom
size of the total moment	0.00	μB/f.u.
V	287.64	Å³/cell

Quick one: most stable of them? <two>